VASP calculation (GGA-PBEsol) on a geometry-optimized Zn2PAu structure.

a = 3.697 Å, b = 3.940 Å, c = 4.177 Å
α = 90.00°, β = 90.00°, γ = 90.00°
Positions (direct):
Zn: 0.000 0.000 0.000
Zn: 0.000 0.500 0.500
Au: 0.500 0.500 0.000
P: 0.500 0.000 0.500

Calculated values
For the size of the total moment, the calculation gives 0.00 μB per cell. The symmetry is Pmmm (47). The formation enthalpy at 0 K is 0.092 eV per atom. The energy comes out at -3.128 eV/atom.